(1)
Compound: Nb4Ge2O
Source: Alexandria via LeMat-Bulk
Functional: GGA-PBE
Structure: optimized geometry

Cell: 4.1333 4.1333 7.4393 Å, 73.87 73.87 90.00°
Sites, in units of the cell vectors:
Nb1 0.1649 0.1649 0.6701
Nb2 0.8351 0.8351 0.3299
Nb3 0.0000 0.5000 0.0000
Nb4 0.5000 0.0000 0.0000
Ge1 0.3566 0.3566 0.2867
Ge2 0.6434 0.6434 0.7133
O1 0.0000 0.0000 0.0000

Values from the calculation:
Space-group type: No. 139
E, eV per cell: -58.0

(2)
Compound: CsAgAuO2
Source: Alexandria via LeMat-Bulk
Functional: GGA-PBE
Structure: optimized geometry

Cell: 4.9112 6.7474 7.4985 Å, 116.74 90.00 90.00°
Each line ends with the local moment (μB).
Sites, in units of the cell vectors:
Cs1 0.2525 0.7500 0.5000  0.00
Cs2 0.7475 0.2500 0.5000  0.00
Ag1 0.5000 0.7500 0.0000  0.18
Ag2 0.5000 0.2500 0.0000  0.18
Au1 0.0000 0.0000 0.0000  0.15
Au2 0.0000 0.5000 0.0000  0.15
O1 0.6934 0.9003 0.8006  0.23
O2 0.6934 0.5997 0.1994  0.23
O3 0.3066 0.4003 0.8006  0.23
O4 0.3066 0.0997 0.1994  0.23

Values from the calculation:
Space-group type: No. 67
E, eV per cell: -38.2

Q: Which value of E does entry 1 give?
A: -58.0 eV per cell